# 1
NaTb2ScTe4 GGA-PBE optimized geometry; crystal system = monoclinic; SG = No. 10; E = -4.93 eV/atom
1.0
4.316 0.000 0.000
0.000 7.503 -0.159
0.000 2.615 7.107
Na Tb Sc Te
1 2 1 4
direct
0.500 0.500 0.000
0.000 0.000 0.000
0.500 0.000 0.500
0.000 0.500 0.500
0.000 0.745 0.745
0.000 0.255 0.255
0.500 0.739 0.258
0.500 0.261 0.742

# 2
Na4TbSc3Te8 GGA-PBE optimized geometry; crystal system = trigonal; SG = No. 166; E = -4.59 eV/atom
1.0
-6.532 4.808 -2.821
-4.381 -7.460 -2.572
2.572 0.619 8.169
Na Tb Sc Te
4 1 3 8
direct
0.500 0.000 0.000
0.500 0.000 0.500
0.000 0.000 0.000
0.000 0.000 0.500
0.000 0.500 0.000
0.500 0.500 0.000
0.500 0.500 0.500
0.000 0.500 0.500
0.247 0.725 0.978
0.247 0.725 0.494
0.261 0.282 0.521
0.731 0.725 0.978
0.269 0.275 0.022
0.739 0.718 0.479
0.753 0.275 0.506
0.753 0.275 0.022

# 3
Na3Tb2ScTe6 GGA-PBE optimized geometry; crystal system = monoclinic; SG = No. 12; E = -4.47 eV/atom
1.0
-4.573 -0.264 -6.042
-2.471 -2.452 6.736
-0.163 7.849 1.371
Na Tb Sc Te
3 2 1 6
direct
0.171 0.829 0.500
0.829 0.171 0.500
0.500 0.500 0.500
0.334 0.666 0.000
0.666 0.334 0.000
0.000 0.000 0.000
0.924 0.603 0.772
0.756 0.756 0.229
0.076 0.397 0.228
0.603 0.924 0.772
0.244 0.244 0.771
0.397 0.076 0.228

# 4
Na3TbSc2Te6 GGA-PBE optimized geometry; crystal system = monoclinic; SG = No. 12; E = -4.57 eV/atom
1.0
7.462 -0.002 -0.002
-3.731 6.463 -0.002
-1.246 -2.157 7.545
Na Tb Sc Te
3 1 2 6
direct
0.163 0.837 0.500
0.837 0.163 0.500
0.500 0.500 0.500
0.000 0.000 0.000
0.333 0.667 0.000
0.667 0.333 0.000
0.925 0.579 0.776
0.728 0.728 0.224
0.075 0.421 0.224
0.579 0.925 0.776
0.272 0.272 0.776
0.421 0.075 0.224